No. 1
The following is a DFT calculation (GGA-PBE) of crystalline AcTb5Pr2Nd at its relaxed geometry. Values from VASP.

Geometry as Quantum ESPRESSO input:
```
&SYSTEM
  ibrav = 0, nat = 18, ntyp = 4
/
ATOMIC_SPECIES
Ac 227.00 Ac.upf
Tb 158.93 Tb.upf
Pr 140.91 Pr.upf
Nd 144.24 Nd.upf
ATOMIC_POSITIONS crystal
Ac 0.250 0.750 0.500
Ac 0.750 0.250 0.500
Tb 0.000 0.000 0.000
Tb 0.079 0.579 0.925
Tb 0.153 0.079 0.500
Tb 0.347 0.847 0.925
Tb 0.421 0.347 0.500
Tb 0.500 0.500 0.000
Tb 0.579 0.653 0.500
Tb 0.653 0.153 0.075
Tb 0.847 0.921 0.500
Tb 0.921 0.421 0.075
Pr 0.116 0.384 0.500
Pr 0.384 0.884 0.267
Pr 0.616 0.116 0.733
Pr 0.884 0.616 0.500
Nd 0.250 0.250 0.000
Nd 0.750 0.750 0.000
CELL_PARAMETERS angstrom
-4.442 4.442 7.978
4.442 -4.442 7.978
4.442 4.442 -7.978
```

## Properties
D(E_F) = 19.60 states/eV/cell
E = -78.45 eV per cell
formation energy from the elements = 2.36 eV/f.u.

***

No. 2
The following is a DFT calculation (GGA-PBE) of crystalline AcTb2Pr2Nd2 at its relaxed geometry. Values from VASP.

Geometry as Quantum ESPRESSO input:
```
&SYSTEM
  ibrav = 0, nat = 14, ntyp = 4
/
ATOMIC_SPECIES
Ac 227.00 Ac.upf
Tb 158.93 Tb.upf
Pr 140.91 Pr.upf
Nd 144.24 Nd.upf
ATOMIC_POSITIONS crystal
Ac 0.000 0.000 0.000
Ac 0.500 0.500 0.000
Tb 0.142 0.000 0.433
Tb 0.358 0.500 0.567
Tb 0.642 0.500 0.433
Tb 0.858 0.000 0.567
Pr 0.214 0.500 0.151
Pr 0.286 0.000 0.849
Pr 0.714 0.000 0.151
Pr 0.786 0.500 0.849
Nd 0.074 0.500 0.707
Nd 0.426 0.000 0.293
Nd 0.574 0.000 0.707
Nd 0.926 0.500 0.293
CELL_PARAMETERS angstrom
11.716 0.000 0.000
0.000 5.244 0.000
-1.169 0.000 8.185
```

## Properties
D(E_F) = 23.19 states/eV/cell
E = -64.51 eV per cell
formation energy from the elements = 0.21 eV/f.u.

***

No. 3
The following is a DFT calculation (GGA-PBE) of crystalline AcTb2PrNd at its relaxed geometry. Values from VASP.

Geometry as Quantum ESPRESSO input:
```
&SYSTEM
  ibrav = 0, nat = 10, ntyp = 4
/
ATOMIC_SPECIES
Ac 227.00 Ac.upf
Tb 158.93 Tb.upf
Pr 140.91 Pr.upf
Nd 144.24 Nd.upf
ATOMIC_POSITIONS crystal
Ac 0.239 0.761 0.750
Ac 0.761 0.239 0.250
Tb 0.187 0.187 0.000
Tb 0.187 0.187 0.500
Tb 0.813 0.813 0.000
Tb 0.813 0.813 0.500
Pr 0.481 0.519 0.250
Pr 0.519 0.481 0.750
Nd 0.214 0.786 0.250
Nd 0.786 0.214 0.750
CELL_PARAMETERS angstrom
4.288 -6.033 0.000
4.288 6.033 0.000
0.000 0.000 7.359
```

## Properties
D(E_F) = 16.00 states/eV/cell
E = -42.59 eV per cell
formation energy from the elements = 1.62 eV/f.u.

***

No. 4
The following is a DFT calculation (GGA-PBE) of crystalline AcTbPrNd3 at its relaxed geometry. Values from VASP.

Geometry as Quantum ESPRESSO input:
```
&SYSTEM
  ibrav = 0, nat = 12, ntyp = 4
/
ATOMIC_SPECIES
Ac 227.00 Ac.upf
Tb 158.93 Tb.upf
Pr 140.91 Pr.upf
Nd 144.24 Nd.upf
ATOMIC_POSITIONS crystal
Ac 0.000 0.250 0.249
Ac 0.000 0.750 0.751
Tb 0.500 0.250 0.249
Tb 0.500 0.750 0.751
Pr 0.260 0.250 0.583
Pr 0.740 0.750 0.417
Nd 0.259 0.250 0.917
Nd 0.259 0.750 0.083
Nd 0.259 0.750 0.416
Nd 0.741 0.250 0.584
Nd 0.741 0.250 0.917
Nd 0.741 0.750 0.083
CELL_PARAMETERS angstrom
7.216 0.000 0.000
0.000 5.878 0.000
-0.001 0.000 10.182
```

## Properties
D(E_F) = 18.39 states/eV/cell
E = -55.10 eV per cell
formation energy from the elements = 0.27 eV/f.u.